Compound: Ca2YSb
Source: Alexandria via LeMat-Bulk
Functional: PBEsol
Structure: relaxed

- formation energy (no corrections) (eV per atom) = -0.473
- Fermi-level density of states (states/eV/cell) = 2.742
- space-group type = I4/mmm, No. 139
- V (Å³ per atom) = 29.44
- E above lowest polymorph (kJ/mol of formula units) = 6

abc: 4.569 4.569 6.499
angles: 110.58 110.58 90.00
Fractional coordinates of all 4 atoms:
1 Y 0.000 0.000 0.000
2 Ca 0.250 0.750 0.500
3 Ca 0.750 0.250 0.500
4 Sb 0.500 0.500 0.000